# 1
Here is crystalline HfNbTe2N at its relaxed geometry from Alexandria via LeMat-Bulk. Energies are from PBEsol.

a b c (Å): 5.456 5.456 3.826
angles (deg): 90.00 90.00 90.00
Sites, in units of the cell vectors:
Hf  0.000  0.000  0.000
Nb  0.500  0.500  0.500
Te  0.000  0.500  0.500
Te  0.500  0.000  0.500
N  0.500  0.500  0.000

Values from the calculation:
Energy relative to the elements, uncorrected, eV per atom: 0.163



# 2
Here is crystalline FeRe3 at its relaxed geometry from Alexandria via LeMat-Bulk. Energies are from PBEsol.

a b c (Å): 5.373 5.373 4.327
angles (deg): 90.00 90.00 120.00
Sites, in units of the cell vectors:
Fe  0.333  0.667  0.250
Fe  0.667  0.333  0.750
Re  0.168  0.336  0.750
Re  0.168  0.832  0.750
Re  0.336  0.168  0.250
Re  0.664  0.832  0.750
Re  0.832  0.168  0.250
Re  0.832  0.664  0.250

Values from the calculation:
E, eV per cell: -97.98



# 3
Here is crystalline IrSe2Cl at its relaxed geometry from Alexandria via LeMat-Bulk. Energies are from PBEsol.

a b c (Å): 3.128 4.315 5.053
angles (deg): 90.00 90.00 90.00
Sites, in units of the cell vectors:
Ir  0.000  0.000  0.000
Se  0.000  0.500  0.500
Se  0.500  0.000  0.500
Cl  0.500  0.500  0.000

Values from the calculation:
Energy relative to the elements, uncorrected, eV per atom: 0.832



# 4
Here is crystalline FeW3 at its relaxed geometry from Alexandria via LeMat-Bulk. Energies are from PBEsol.

a b c (Å): 5.126 5.126 5.126
angles (deg): 117.06 117.06 117.06
Sites, in units of the cell vectors:
Fe  0.000  0.000  0.000
W  0.000  0.500  0.500
W  0.500  0.000  0.500
W  0.500  0.500  0.000

Values from the calculation:
E, eV per cell: -49.75